The following is a PBE-GGA calculation of a geometry-optimized Te2PN structure, from the Alexandria database.

```
4
Lattice="2.266 0.000 7.477 -1.133 1.962 7.477 -1.133 -1.962 7.477" Properties=species:S:1:pos:R:3 pbc="T T T"
P 0.000 0.000 11.216
Te 0.000 0.000 20.473
Te 0.000 0.000 1.959
N 0.000 0.000 0.000
```

Values from the calculation:
total DFT energy (no corrections)	-16.494	eV for the cell shown
formation energy (no corrections)	3.52	eV/f.u.
energy above the lowest structure with this stoichiometry	4	meV/atom
symmetry	No. 166


The following is a PBE-GGA calculation of a geometry-optimized TmTh3Te6 structure, from the Alexandria database.

```
20
Lattice="4.200 0.000 0.000 0.000 11.529 0.089 0.000 -3.776 13.380" Properties=species:S:1:pos:R:3 pbc="T T T"
Tm 3.150 -2.114 9.137
Tm 1.050 9.868 4.332
Th 3.150 0.947 11.591
Th 1.050 6.806 1.878
Th 3.150 5.875 7.036
Th 1.050 1.878 6.433
Th 3.150 1.191 1.003
Th 1.050 6.562 12.465
Te 3.150 3.102 8.463
Te 1.050 4.651 5.006
Te 3.150 9.459 1.394
Te 1.050 -1.706 12.075
Te 3.150 4.457 1.376
Te 1.050 3.297 12.093
Te 3.150 7.576 4.252
Te 1.050 0.177 9.216
Te 3.150 -0.492 6.200
Te 1.050 8.245 7.269
Te 3.150 6.537 10.134
Te 1.050 1.216 3.335
```

Values from the calculation:
total DFT energy (no corrections)	-114.216	eV for the cell shown
formation energy (no corrections)	-11.53	eV/f.u.
symmetry	No. 11


The following is a PBE-GGA calculation of a geometry-optimized Sm9Dy4Y11 structure, from the Alexandria database.

```
24
Lattice="-2.224 -2.677 -1.322 11.400 -5.190 -8.671 -0.433 -6.454 13.793" Properties=species:S:1:pos:R:3 pbc="T T T"
Sm 6.010 -5.670 -3.874
Sm 2.733 -8.651 7.673
Sm 0.481 -6.260 6.621
Sm 8.262 -8.061 -2.822
Sm 7.445 -11.435 5.381
Sm 1.298 -2.886 -1.582
Sm 9.175 -11.250 2.097
Sm -0.432 -3.071 1.702
Sm 4.371 -7.161 1.900
Dy 4.880 -9.092 4.955
Dy 3.863 -5.229 -1.155
Dy 7.262 -8.838 0.432
Dy 1.481 -5.483 3.367
Y 6.355 -9.243 8.018
Y 4.612 -2.402 -2.896
Y 10.625 -8.787 -0.088
Y 0.342 -2.858 5.210
Y 7.055 -5.654 -0.422
Y 3.912 -5.990 5.544
Y 9.505 -5.393 -5.074
Y 1.462 -6.252 10.196
Y 0.000 0.000 0.000
Y 7.773 -8.253 3.630
Y 3.194 -3.392 1.492
```

Values from the calculation:
total DFT energy (no corrections)	-130.862	eV for the cell shown
symmetry	No. 65
energy relative to the elements	46.8	meV/atom